A plane-wave DFT calculation with GGA-PBE was carried out for a relaxed MnIrPt2 crystal.

Computed properties:
Electronic total energy = -7.1704 eV per atom
Formation energy from the elements = 357.6 meV per atom
Space-group type = Fm-3m

abc: 4.358 4.358 4.358
angles: 60.00 60.00 60.00
Sites, in units of the cell vectors:
Mn 0.000 0.000 0.000
Ir 0.500 0.500 0.500
Pt 0.250 0.250 0.250
Pt 0.750 0.750 0.750

***

A plane-wave DFT calculation with GGA-PBE was carried out for a relaxed NdAl4OsRh2 crystal.

Computed properties:
Electronic total energy = -6.4253 eV per atom
Formation energy from the elements = -716.5 meV per atom
Space-group type = R-3m

abc: 9.244 9.244 9.244
angles: 26.46 26.46 26.46
Sites, in units of the cell vectors:
Nd 0.000 0.000 0.000
Al 0.134 0.134 0.134
Al 0.407 0.407 0.407
Al 0.593 0.593 0.593
Al 0.866 0.866 0.866
Os 0.500 0.500 0.500
Rh 0.235 0.235 0.235
Rh 0.765 0.765 0.765

***

A plane-wave DFT calculation with GGA-PBE was carried out for a relaxed PdPt2Au2 crystal.

Computed properties:
Electronic total energy = -4.4901 eV per atom
Formation energy from the elements = 275.7 meV per atom
Energy relative to the lowest polymorph listed for this composition = 40 meV per atom
Space-group type = P4/mbm

abc: 7.957 7.957 2.829
angles: 90.00 90.00 90.00
Sites, in units of the cell vectors:
Pd 0.000 0.000 0.000
Pd 0.500 0.500 0.000
Pt 0.122 0.378 0.500
Pt 0.378 0.878 0.500
Pt 0.622 0.122 0.500
Pt 0.878 0.622 0.500
Au 0.176 0.676 0.000
Au 0.324 0.176 0.000
Au 0.676 0.824 0.000
Au 0.824 0.324 0.000

***

A plane-wave DFT calculation with GGA-PBE was carried out for a relaxed K2TaMo crystal.

Computed properties:
Electronic total energy = -5.0665 eV per atom
Formation energy from the elements = 1153.2 meV per atom
Energy relative to the lowest polymorph listed for this composition = 378 meV per atom
Space-group type = Imm2

abc: 7.136 7.136 7.136
angles: 153.91 124.94 61.91
Sites, in units of the cell vectors:
K 0.000 0.000 0.000
K 0.706 0.206 0.500
Ta 0.416 0.416 0.000
Mo 0.271 0.771 0.500

***

A plane-wave DFT calculation with GGA-PBE was carried out for a relaxed TeCI2 crystal.

Computed properties:
Electronic total energy = -2.4310 eV per atom
Energy relative to the lowest polymorph listed for this composition = 0 meV per atom
Space-group type = I-42d
Uncorrected formation energy = 1.435 eV/atom

abc: 7.477 7.477 7.477
angles: 120.05 120.05 89.91
Sites, in units of the cell vectors:
Te 0.000 0.000 0.000
Te 0.750 0.250 0.500
C 0.250 0.750 0.500
C 0.500 0.500 0.000
I 0.372 0.625 0.247
I 0.375 0.622 0.747
I 0.378 0.125 0.753
I 0.875 0.628 0.253

***

A plane-wave DFT calculation with GGA-PBE was carried out for a relaxed NiWCCl2 crystal.

Computed properties:
Electronic total energy = -4.6093 eV per atom
Space-group type = P4/mmm
Uncorrected formation energy = 1.721 eV/atom

abc: 4.364 4.364 4.138
angles: 90.00 90.00 90.00
Sites, in units of the cell vectors:
Ni 0.000 0.000 0.000
W 0.500 0.500 0.000
C 0.500 0.500 0.500
Cl 0.000 0.500 0.500
Cl 0.500 0.000 0.500

***

A plane-wave DFT calculation with GGA-PBE was carried out for a relaxed Cs2ScF crystal.

Computed properties:
Electronic total energy = -3.0611 eV per atom
Space-group type = I-42d
Uncorrected formation energy = -0.584 eV/atom

abc: 8.243 8.243 8.243
angles: 115.45 115.45 98.08
Sites, in units of the cell vectors:
Cs 0.375 0.244 0.369
Cs 0.756 0.125 0.131
Cs 0.875 0.006 0.631
Cs 0.994 0.625 0.869
Sc 0.250 0.750 0.500
Sc 0.500 0.500 0.000
F 0.000 0.000 0.000
F 0.750 0.250 0.500

***

A plane-wave DFT calculation with GGA-PBE was carried out for a relaxed Tb2Hg3Pd2 crystal.

Computed properties:
Electronic total energy = -3.5189 eV per atom
Formation energy from the elements = -582.9 meV per atom
Energy relative to the lowest polymorph listed for this composition = 0 meV per atom
Space-group type = C2/m

abc: 5.391 5.391 7.451
angles: 106.99 106.99 49.07
Sites, in units of the cell vectors:
Tb 0.138 0.138 0.278
Tb 0.862 0.862 0.722
Hg 0.372 0.372 0.059
Hg 0.500 0.500 0.500
Hg 0.628 0.628 0.941
Pd 0.159 0.159 0.688
Pd 0.841 0.841 0.312